DFT (PBE-GGA) results for an optimized crystal structure of VRuN2.

abc: 5.5303 5.5303 5.5303
angles: 132.10 132.10 70.07
With the nearest neighbours (Å) after each atom.
Positions (direct):
V  0.0000  0.0000  0.0000  4 N 1.89
V  0.7500  0.2500  0.5000  4 N 1.89
Ru  0.2500  0.7500  0.5000  4 N 2.01
Ru  0.5000  0.5000  0.0000  4 N 2.01
N  0.1017  0.6250  0.9767  2 V 1.89, 2 Ru 2.01
N  0.3750  0.3517  0.4767  2 V 1.89, 2 Ru 2.01
N  0.6483  0.1250  0.0233  2 V 1.89, 2 Ru 2.01
N  0.8750  0.8983  0.5233  2 V 1.89, 2 Ru 2.01

energy relative to the lowest polymorph listed for this composition	0.00	eV/f.u.
E_tot	-9.06	eV/atom
raw formation energy	-1.18	eV/f.u.

---

DFT (PBE-GGA) results for an optimized crystal structure of VRu3N.

abc: 4.4621 4.4621 4.4621
angles: 90.00 90.00 90.00
With the nearest neighbours (Å) after each atom.
Positions (direct):
V  0.0000  0.0000  0.0000  6 Ru 2.23
Ru  0.0000  0.0000  0.5000  2 V 2.23
Ru  0.0000  0.5000  0.0000  2 V 2.23
Ru  0.5000  0.0000  0.0000  2 V 2.23
N  0.5000  0.5000  0.5000  12 Ru 3.16

energy relative to the lowest polymorph listed for this composition	11.29	eV/f.u.
E_tot	-6.67	eV/atom
raw formation energy	11.93	eV/f.u.

---

- Among the records above, which one has the highest raw formation energy?
  VRu3N